Sr2MoIrO6 (PBE+U, optimized geometry); total moment = 1.00 μB/f.u.; SG = Immm (71); N(E_F) = 0.2 states/eV/f.u.; total DFT energy (no corrections) = -136.3 eV/cell
1.0
-3.985 -3.683 1.709
3.187 -4.278 -1.787
3.533 -0.425 7.319
O Sr Ir Mo
12 4 2 2
direct
0.749 0.005 0.500
0.249 0.505 0.000
0.251 0.005 0.500
0.751 0.505 0.000
0.500 0.250 0.251
0.749 0.495 0.500
0.000 0.750 0.751
0.751 0.995 0.000
0.251 0.495 0.500
0.500 0.250 0.749
0.000 0.750 0.249
0.249 0.995 0.000
0.000 0.250 0.748
0.500 0.750 0.248
0.500 0.750 0.752
0.000 0.250 0.252
0.500 0.250 0.000
0.000 0.750 0.500
0.500 0.250 0.500
0.000 0.750 0.000